# KCuPdW, relaxed, DFT PBE
# Crystal system: cubic
data_KCuPdW
_chemical_formula_sum 'K4 Cu4 Pd4 W4'
_space_group_name_H-M_alt 'F -4 3 m'
_space_group_IT_number 216
_space_group_name_Hall 'F -4 2 3'
_cell_length_a 6.470
_cell_length_b 6.470
_cell_length_c 6.470
_cell_angle_alpha 90.00
_cell_angle_beta 90.00
_cell_angle_gamma 90.00
loop_
_atom_site_label
_atom_site_fract_x
_atom_site_fract_y
_atom_site_fract_z
K1 0.000 0.000 0.000
Cu1 0.250 0.250 0.250
Pd1 0.000 0.000 0.500
W1 0.250 0.250 0.750

# Ge2IrPd, relaxed, DFT PBE
# Crystal system: monoclinic
data_Ge2IrPd
_chemical_formula_sum 'Ge4 Ir2 Pd2'
_space_group_name_H-M_alt 'P 1 21/m 1'
_space_group_IT_number 11
_cell_length_a 5.722
_cell_length_b 3.563
_cell_length_c 6.360
_cell_angle_alpha 90.00
_cell_angle_beta 90.54
_cell_angle_gamma 90.00
loop_
_space_group_symop_operation_xyz
'x,y,z'
'-x,-y,-z'
'-x,y+1/2,-z'
'x,-y+1/2,z'
loop_
_atom_site_label
_atom_site_fract_x
_atom_site_fract_y
_atom_site_fract_z
Ge1 0.175 0.250 0.425
Ge2 0.299 0.750 0.921
Ir1 0.002 0.250 0.802
Pd1 0.496 0.750 0.304

# KMoH4, relaxed, DFT PBE
# Crystal system: tetragonal
data_KMoH4
_chemical_formula_sum 'K4 Mo4 H16'
_space_group_name_H-M_alt 'I 41/a'
_space_group_IT_number 88
_cell_length_a 5.370
_cell_length_b 5.370
_cell_length_c 8.124
_cell_angle_alpha 90.00
_cell_angle_beta 90.00
_cell_angle_gamma 90.00
loop_
_space_group_symop_operation_xyz
'x,y,z'
'-x,-y,-z'
'-y+3/4,x+1/4,z+1/4'
'y+3/4,-x+1/4,-z+1/4'
'-x+1/2,-y,z+1/2'
'x+1/2,y,-z+1/2'
'y+3/4,-x+3/4,z+3/4'
'-y+3/4,x+3/4,-z+3/4'
'x+1/2,y+1/2,z+1/2'
'-x+1/2,-y+1/2,-z+1/2'
'-y+1/4,x+3/4,z+3/4'
'y+1/4,-x+3/4,-z+3/4'
'-x,-y+1/2,z'
'x,y+1/2,-z'
'y+1/4,-x+1/4,z+1/4'
'-y+1/4,x+1/4,-z+1/4'
loop_
_atom_site_label
_atom_site_fract_x
_atom_site_fract_y
_atom_site_fract_z
K1 0.000 0.250 0.125
Mo1 0.000 0.250 0.625
H1 0.169 0.003 0.497

# UHgW, relaxed, DFT PBE
# Crystal system: cubic
data_UHgW
_chemical_formula_sum 'U4 Hg4 W4'
_space_group_name_H-M_alt 'F -4 3 m'
_space_group_IT_number 216
_space_group_name_Hall 'F -4 2 3'
_cell_length_a 6.582
_cell_length_b 6.582
_cell_length_c 6.582
_cell_angle_alpha 90.00
_cell_angle_beta 90.00
_cell_angle_gamma 90.00
loop_
_atom_site_label
_atom_site_fract_x
_atom_site_fract_y
_atom_site_fract_z
U1 0.000 0.000 0.000
Hg1 0.000 0.000 0.500
W1 0.250 0.250 0.750

Across the entries above, total energy takes the values -4.45 -6.23 -4.04 -7.07 eV per atom, respectively.